KRb2ReF6: relaxed, PBE.

Cell and atoms, written as POSCAR:
```
KRb2ReF6
1.0
0.000 4.370 4.370
4.370 0.000 4.370
4.370 4.370 0.000
F K Rb Re
6 1 2 1
direct
0.769 0.231 0.769
0.231 0.769 0.231
0.769 0.231 0.231
0.231 0.769 0.769
0.231 0.231 0.769
0.769 0.769 0.231
0.500 0.500 0.500
0.750 0.750 0.750
0.250 0.250 0.250
0.000 0.000 0.000
```

Summary:
final energy: -49.21 eV for the cell shown
M_tot: 0.200 μB/atom